No. 1
## Hf2Zn2As (GGA-PBE)

Data for an optimized crystal structure of Hf2Zn2As.

Geometry as CIF:
```
data_Hf2Zn2As
_cell_length_a 6.902
_cell_length_b 6.902
_cell_length_c 4.203
_cell_angle_alpha 90.00
_cell_angle_beta 90.00
_cell_angle_gamma 90.00
_space_group_name_H-M_alt 'P 4/m b m'
_space_group_IT_number 127
_space_group_name_Hall '-P 4 2ab'
loop_
_atom_site_label
_atom_site_fract_x
_atom_site_fract_y
_atom_site_fract_z
Hf1 0.161 0.339 0.000
Zn1 0.135 0.635 0.500
As1 0.000 0.000 0.000
```

mass density = 9334 kg/m³
excess energy over the best structure of this formula in the dataset = 0.000 eV per atom
calculated formation energy = -0.269 eV/atom


No. 2
## Be4Zn (GGA-PBE)

Data for an optimized crystal structure of Be4Zn.

Geometry as CIF:
```
data_Be4Zn
_cell_length_a 5.307
_cell_length_b 5.307
_cell_length_c 3.313
_cell_angle_alpha 90.00
_cell_angle_beta 90.00
_cell_angle_gamma 90.00
_space_group_name_H-M_alt 'I 4/m'
_space_group_IT_number 87
_space_group_name_Hall '-I 4'
loop_
_atom_site_label
_atom_site_fract_x
_atom_site_fract_y
_atom_site_fract_z
Be1 0.094 0.311 0.000
Zn1 0.000 0.000 0.500
```

mass density = 3610 kg/m³
excess energy over the best structure of this formula in the dataset = 0.000 eV per atom
calculated formation energy = 0.170 eV/atom